Zr2HgCl | PBE | relaxed

Cell: 3.200 3.200 7.665 Å, 90.00 90.00 90.00°
Fractional positions:
Zr (0.000, 0.000, 0.225)
Zr (0.000, 0.000, 0.775)
Hg (0.500, 0.500, 0.500)
Cl (0.500, 0.500, 0.000)

Results
E_form (uncorrected): -337 meV/atom
total energy: -20.6 eV/cell